Record 1
FeCu3Ni6: relaxed, PBE.

Values from the calculation:
- Energy: -5.544 eV/atom
- ΔE_f: 0 meV per atom
- Crystal system: monoclinic

Lattice parameters (Å, degrees): 7.906 3.564 7.989 90.00 90.76 90.00
Fractional positions:
Fe (0.054, 0.250, 0.392)
Fe (0.946, 0.750, 0.608)
Cu (0.250, 0.250, 0.998)
Cu (0.349, 0.750, 0.799)
Cu (0.449, 0.250, 0.599)
Cu (0.551, 0.750, 0.401)
Cu (0.651, 0.250, 0.201)
Cu (0.750, 0.750, 0.002)
Ni (0.047, 0.750, 0.901)
Ni (0.142, 0.250, 0.696)
Ni (0.151, 0.750, 0.201)
Ni (0.243, 0.750, 0.497)
Ni (0.348, 0.250, 0.299)
Ni (0.448, 0.750, 0.100)
Ni (0.552, 0.250, 0.900)
Ni (0.652, 0.750, 0.701)
Ni (0.757, 0.250, 0.503)
Ni (0.849, 0.250, 0.799)
Ni (0.858, 0.750, 0.304)
Ni (0.953, 0.250, 0.099)


Record 2
CrAgCl2: relaxed, PBE.

Values from the calculation:
- Energy: -4.356 eV/atom
- Crystal system: monoclinic
- E_form (uncorrected): -30.33 kJ per mole of atoms

Lattice parameters (Å, degrees): 4.666 3.430 5.990 90.00 111.53 90.00
Fractional positions:
Cr (0.000, 0.000, 0.000)
Ag (0.196, 0.500, 0.395)
Cl (0.530, 0.000, 0.063)
Cl (0.849, 0.500, 0.695)


Results for polymorph energy (0 for the lowest one): 0 81 (in meV/atom, following the order of the records).